An optimized crystal structure of Ba2ScFe2O6. Source: Alexandria, functional GGA+U.

abc: 6.0457 6.0457 16.6445
angles: 90.00 90.00 120.00
Space group R-3m (No. 166, hexagonal axes)
One atom of each set of equivalent atoms:
Ba: 0.0000 0.0000 0.2165 [6 per cell]
Sc: 0.0000 0.0000 0.0000 [3 per cell]
Fe: 0.0000 0.0000 0.4238 [6 per cell]
O: 0.0180 0.5090 0.7477 [18 per cell]

## Properties
magnetic moment: 9.0 μB per formula unit
energy: -6.95 eV per atom
V: 526.9 Å³ per cell